VASP calculation (PBE-GGA) on a relaxed CsRbTlSb crystal.

Unit cell a=7.1837 b=7.1837 c=6.3898 alpha=116.34 beta=116.34 gamma=38.34
Positions (direct):
Cs: 0.0000 0.0000 0.0000
Rb: 0.1870 0.1870 0.6862
Tl: 0.7716 0.7716 0.2713
Sb: 0.4311 0.4311 0.4318

As for the density of states at the Fermi level: 0.406 states/eV/cell. The volume comes out at 45.14 Å³ per atom. As for the uncorrected formation energy: -0.316 eV per atom. As for the energy relative to the lowest polymorph listed for this composition: 0.000 eV/atom.